# 1
First-principles (PBEsol) data for a geometry-optimized LaGaPt structure, as listed in the Alexandria database.

Unit cell a=7.1551 b=4.4941 c=7.7771 alpha=90.00 beta=90.00 gamma=90.00
With the nearest neighbours (Å) after each atom.
Positions (direct):
La1 0.0239 0.2500 0.1936  5 Pt 2.95-3.22, 3 Ga 3.12-3.17
La2 0.4761 0.7500 0.6936  5 Pt 2.95-3.22, 3 Ga 3.12-3.17
La3 0.5239 0.2500 0.3064  5 Pt 2.95-3.22, 3 Ga 3.12-3.17
La4 0.9761 0.7500 0.8064  5 Pt 2.95-3.22, 3 Ga 3.12-3.17
Ga1 0.1614 0.2500 0.5745  4 Pt 2.66-2.71
Ga2 0.3386 0.7500 0.0745  4 Pt 2.66-2.71
Ga3 0.6614 0.2500 0.9255  4 Pt 2.66-2.71
Ga4 0.8386 0.7500 0.4255  4 Pt 2.66-2.71
Pt1 0.2168 0.7500 0.3990  4 Ga 2.66-2.71, 1 La 2.95
Pt2 0.2832 0.2500 0.8990  4 Ga 2.66-2.71, 1 La 2.95
Pt3 0.7168 0.7500 0.1010  4 Ga 2.66-2.71, 1 La 2.95
Pt4 0.7832 0.2500 0.6010  4 Ga 2.66-2.71, 1 La 2.95

## Properties
V, Å³ per atom: 20.84
Total DFT energy (no corrections), eV/f.u.: -18.760
Space-group type: No. 62
Formation enthalpy at 0 K, eV per formula unit: -3.11

# 2
First-principles (PBEsol) data for a geometry-optimized RbLaGaRe2 structure, as listed in the Alexandria database.

Unit cell a=4.7205 b=4.7205 c=5.3700 alpha=90.00 beta=90.00 gamma=90.00
With the nearest neighbours (Å) after each atom.
Positions (direct):
Rb1 0.0000 0.0000 0.0000  2 Ga 2.69
La1 0.5000 0.5000 0.0000  4 Rb 3.34, 8 Re 3.57
Ga1 0.0000 0.0000 0.5000  4 Re 2.36
Re1 0.0000 0.5000 0.5000  2 Ga 2.36
Re2 0.5000 0.0000 0.5000  2 Ga 2.36

## Properties
V, Å³ per atom: 23.93
Total DFT energy (no corrections), eV/f.u.: -28.863
Space-group type: No. 123
Formation enthalpy at 0 K, eV per formula unit: 7.51

# 3
First-principles (PBEsol) data for a geometry-optimized RbLa2GaTc structure, as listed in the Alexandria database.

Unit cell a=5.2904 b=5.2904 c=5.6985 alpha=90.00 beta=90.00 gamma=90.00
With the nearest neighbours (Å) after each atom.
Positions (direct):
Rb1 0.0000 0.0000 0.0000  2 Tc 2.85
La1 0.0000 0.5000 0.5000  2 Tc 2.65
La2 0.5000 0.0000 0.5000  2 Tc 2.65
Ga1 0.5000 0.5000 0.0000  4 Rb 3.74, 8 La 3.89
Tc1 0.0000 0.0000 0.5000  4 La 2.65, 2 Rb 2.85

## Properties
V, Å³ per atom: 31.90
Total DFT energy (no corrections), eV/f.u.: -23.692
Space-group type: No. 123
Formation enthalpy at 0 K, eV per formula unit: 2.63

# 4
First-principles (PBEsol) data for a geometry-optimized LaGa2Re2 structure, as listed in the Alexandria database.

Unit cell a=5.7409 b=5.7409 c=5.7409 alpha=133.53 beta=133.53 gamma=67.82
With the nearest neighbours (Å) after each atom.
Positions (direct):
La1 0.0000 0.0000 0.0000  8 Ga 3.29, 10 Re 3.40-3.61
Ga1 0.2500 0.7500 0.5000  4 Re 2.58
Ga2 0.7500 0.2500 0.5000  4 Re 2.58
Re1 0.3793 0.3793 0.0000  1 Re 2.30
Re2 0.6207 0.6207 0.0000  1 Re 2.30

## Properties
V, Å³ per atom: 19.55
Total DFT energy (no corrections), eV/f.u.: -38.819
Space-group type: No. 139
Formation enthalpy at 0 K, eV per formula unit: -0.13

# 5
First-principles (PBEsol) data for a geometry-optimized LaGa2Rh3 structure, as listed in the Alexandria database.

Unit cell a=5.5942 b=5.5942 c=3.7752 alpha=90.00 beta=90.00 gamma=120.00
With the nearest neighbours (Å) after each atom.
Positions (direct):
La1 0.0000 0.0000 0.0000  6 Ga 3.23, 12 Rh 3.37
Ga1 0.3333 0.6667 0.0000  6 Rh 2.48
Ga2 0.6667 0.3333 0.0000  6 Rh 2.48
Rh1 0.0000 0.5000 0.5000  4 Ga 2.48
Rh2 0.5000 0.0000 0.5000  4 Ga 2.48
Rh3 0.5000 0.5000 0.5000  4 Ga 2.48

## Properties
V, Å³ per atom: 17.05
Total DFT energy (no corrections), eV/f.u.: -41.255
Space-group type: No. 191
Formation enthalpy at 0 K, eV per formula unit: -4.81

# 6
First-principles (PBEsol) data for a geometry-optimized LaGa2Rh2 structure, as listed in the Alexandria database.

Unit cell a=5.8444 b=5.8444 c=5.8444 alpha=137.25 beta=137.25 gamma=62.05
With the nearest neighbours (Å) after each atom.
Positions (direct):
La1 0.0000 0.0000 0.0000  8 Ga 3.28, 8 Rh 3.29
Ga1 0.3709 0.3709 0.0000  4 Rh 2.45, 1 Ga 2.59
Ga2 0.6291 0.6291 0.0000  4 Rh 2.45, 1 Ga 2.59
Rh1 0.2500 0.7500 0.5000  4 Ga 2.45
Rh2 0.7500 0.2500 0.5000  4 Ga 2.45

## Properties
V, Å³ per atom: 18.18
Total DFT energy (no corrections), eV/f.u.: -32.380
Space-group type: No. 139
Formation enthalpy at 0 K, eV per formula unit: -4.08

# 7
First-principles (PBEsol) data for a geometry-optimized La3Ga2Rh2 structure, as listed in the Alexandria database.

Unit cell a=5.6975 b=8.1337 c=13.5828 alpha=90.00 beta=90.00 gamma=90.00
With the nearest neighbours (Å) after each atom.
Positions (direct):
La1 0.1331 0.2414 0.2500  5 Ga 3.07-3.40, 4 Rh 3.11-3.24
La2 0.1331 0.2586 0.7500  5 Ga 3.07-3.40, 4 Rh 3.11-3.24
La3 0.3484 0.6002 0.0956  3 Rh 2.85-3.12, 2 Ga 3.16-3.17
La4 0.3484 0.6002 0.4044  3 Rh 2.85-3.12, 2 Ga 3.16-3.17
La5 0.3484 0.8998 0.5956  3 Rh 2.85-3.12, 2 Ga 3.16-3.17
La6 0.3484 0.8998 0.9044  3 Rh 2.85-3.12, 2 Ga 3.16-3.17
La7 0.6516 0.1002 0.0956  3 Rh 2.85-3.12, 2 Ga 3.16-3.17
La8 0.6516 0.1002 0.4044  3 Rh 2.85-3.12, 2 Ga 3.16-3.17
La9 0.6516 0.3998 0.5956  3 Rh 2.85-3.12, 2 Ga 3.16-3.17
La10 0.6516 0.3998 0.9044  3 Rh 2.85-3.12, 2 Ga 3.16-3.17
La11 0.8669 0.7414 0.2500  5 Ga 3.07-3.40, 4 Rh 3.11-3.24
La12 0.8669 0.7586 0.7500  5 Ga 3.07-3.40, 4 Rh 3.11-3.24
Ga1 0.1333 0.2500 0.0000  4 Rh 2.60-2.65
Ga2 0.1333 0.2500 0.5000  4 Rh 2.60-2.65
Ga3 0.3609 0.6076 0.7500  2 Rh 2.59
Ga4 0.3609 0.8924 0.2500  2 Rh 2.59
Ga5 0.6391 0.1076 0.7500  2 Rh 2.59
Ga6 0.6391 0.3924 0.2500  2 Rh 2.59
Ga7 0.8667 0.7500 0.0000  4 Rh 2.60-2.65
Ga8 0.8667 0.7500 0.5000  4 Rh 2.60-2.65
Rh1 0.1374 0.5316 0.5900  3 Ga 2.59-2.65, 1 La 2.85
Rh2 0.1374 0.5316 0.9100  3 Ga 2.59-2.65, 1 La 2.85
Rh3 0.1374 0.9684 0.0900  3 Ga 2.59-2.65, 1 La 2.85
Rh4 0.1374 0.9684 0.4100  3 Ga 2.59-2.65, 1 La 2.85
Rh5 0.8626 0.0316 0.5900  3 Ga 2.59-2.65, 1 La 2.85
Rh6 0.8626 0.0316 0.9100  3 Ga 2.59-2.65, 1 La 2.85
Rh7 0.8626 0.4684 0.0900  3 Ga 2.59-2.65, 1 La 2.85
Rh8 0.8626 0.4684 0.4100  3 Ga 2.59-2.65, 1 La 2.85

## Properties
V, Å³ per atom: 22.48
Total DFT energy (no corrections), eV/f.u.: -44.214
Space-group type: No. 57
Formation enthalpy at 0 K, eV per formula unit: -5.22

# 8
First-principles (PBEsol) data for a geometry-optimized La2GaRu2 structure, as listed in the Alexandria database.

Unit cell a=6.8533 b=6.8533 c=4.4032 alpha=90.00 beta=90.00 gamma=90.00
With the nearest neighbours (Å) after each atom.
Positions (direct):
La1 0.1821 0.3179 0.0000  6 Ru 2.81-3.12
La2 0.3179 0.8179 0.0000  6 Ru 2.81-3.12
La3 0.6821 0.1821 0.0000  6 Ru 2.81-3.12
La4 0.8179 0.6821 0.0000  6 Ru 2.81-3.12
Ga1 0.0000 0.0000 0.5000  4 Ru 2.66
Ga2 0.5000 0.5000 0.5000  4 Ru 2.66
Ru1 0.1375 0.6375 0.5000  2 Ga 2.66, 1 Ru 2.67, 2 La 2.81
Ru2 0.3625 0.1375 0.5000  2 Ga 2.66, 1 Ru 2.67, 2 La 2.81
Ru3 0.6375 0.8625 0.5000  2 Ga 2.66, 1 Ru 2.67, 2 La 2.81
Ru4 0.8625 0.3625 0.5000  2 Ga 2.66, 1 Ru 2.67, 2 La 2.81

## Properties
V, Å³ per atom: 20.68
Total DFT energy (no corrections), eV/f.u.: -35.717
Space-group type: No. 127
Formation enthalpy at 0 K, eV per formula unit: -1.34

# 9
First-principles (PBEsol) data for a geometry-optimized La3GaS structure, as listed in the Alexandria database.

Unit cell a=5.5799 b=5.5799 c=5.5799 alpha=90.00 beta=90.00 gamma=90.00
With the nearest neighbours (Å) after each atom.
Positions (direct):
La1 0.0000 0.0000 0.5000  2 Ga 2.79
La2 0.0000 0.5000 0.0000  2 Ga 2.79
La3 0.5000 0.0000 0.0000  2 Ga 2.79
Ga1 0.0000 0.0000 0.0000  6 La 2.79
S1 0.5000 0.5000 0.5000  12 La 3.95

## Properties
V, Å³ per atom: 34.75
Total DFT energy (no corrections), eV/f.u.: -24.040
ΔE_f (raw), meV per atom: -55
Space-group type: No. 221

# 10
First-principles (PBEsol) data for a geometry-optimized LaGaSb2 structure, as listed in the Alexandria database.

Unit cell a=11.5565 b=11.5565 c=4.3590 alpha=90.00 beta=90.00 gamma=158.40
With the nearest neighbours (Å) after each atom.
Positions (direct):
La1 0.1370 0.8630 0.7500  8 Sb 3.26-3.36, 2 Ga 3.36
La2 0.8630 0.1370 0.2500  8 Sb 3.26-3.36, 2 Ga 3.36
Ga1 0.1529 0.1529 0.0000  2 Ga 2.55, 2 Sb 2.75
Ga2 0.8471 0.8471 0.5000  2 Ga 2.55, 2 Sb 2.75
Sb1 0.2498 0.7502 0.2500  4 Sb 3.07, 4 La 3.36
Sb2 0.4107 0.5893 0.7500  2 Ga 2.75
Sb3 0.5893 0.4107 0.2500  2 Ga 2.75
Sb4 0.7502 0.2498 0.7500  4 Sb 3.07, 4 La 3.36

## Properties
V, Å³ per atom: 26.79
Total DFT energy (no corrections), eV/f.u.: -20.702
ΔE_f (raw), meV per atom: -725
Space-group type: No. 20

# 11
First-principles (PBEsol) data for a geometry-optimized LaGaSb3 structure, as listed in the Alexandria database.

Unit cell a=5.2456 b=5.2456 c=5.2456 alpha=90.00 beta=90.00 gamma=90.00
With the nearest neighbours (Å) after each atom.
Positions (direct):
La1 0.0000 0.0000 0.0000  12 Sb 3.71
Ga1 0.5000 0.5000 0.5000  6 Sb 2.62
Sb1 0.0000 0.5000 0.5000  2 Ga 2.62
Sb2 0.5000 0.0000 0.5000  2 Ga 2.62
Sb3 0.5000 0.5000 0.0000  2 Ga 2.62

## Properties
V, Å³ per atom: 28.87
Total DFT energy (no corrections), eV/f.u.: -22.751
ΔE_f (raw), meV per atom: -79
Space-group type: No. 221

# 12
First-principles (PBEsol) data for a geometry-optimized La2GaSnSb structure, as listed in the Alexandria database.

Unit cell a=5.6708 b=5.6708 c=5.0064 alpha=90.00 beta=90.00 gamma=90.00
With the nearest neighbours (Å) after each atom.
Positions (direct):
La1 0.0000 0.5000 0.0000  2 Ga 2.84
La2 0.5000 0.0000 0.0000  2 Ga 2.84
Ga1 0.0000 0.0000 0.0000  2 Sb 2.50
Sn1 0.5000 0.5000 0.5000  8 La 3.78, 4 Sb 4.01
Sb1 0.0000 0.0000 0.5000  2 Ga 2.50

## Properties
V, Å³ per atom: 32.20
Total DFT energy (no corrections), eV/f.u.: -23.552
ΔE_f (raw), meV per atom: -141
Space-group type: No. 123

# 13
First-principles (PBEsol) data for a geometry-optimized LaGaSb2Te structure, as listed in the Alexandria database.

Unit cell a=5.2136 b=5.2136 c=5.4049 alpha=90.00 beta=90.00 gamma=90.00
With the nearest neighbours (Å) after each atom.
Positions (direct):
La1 0.0000 0.0000 0.0000  4 Te 3.69, 8 Sb 3.75
Ga1 0.5000 0.5000 0.5000  4 Sb 2.61, 2 Te 2.70
Sb1 0.0000 0.5000 0.5000  2 Ga 2.61
Sb2 0.5000 0.0000 0.5000  2 Ga 2.61
Te1 0.5000 0.5000 0.0000  2 Ga 2.70

## Properties
V, Å³ per atom: 29.38
Total DFT energy (no corrections), eV/f.u.: -22.232
ΔE_f (raw), meV per atom: -181
Space-group type: No. 123